4
Lattice="2.7002 0.0000 0.0000 0.0000 2.7002 0.0000 0.0000 0.0000 8.0789" Properties=species:S:1:pos:R:3 comment="FeW2Au (meta-GGA SCAN, PBEsol geometry)" relative_energy_mev_per_atom=32.4 formation_energy_ev_per_atom=0.31 magmom_total_mub_per_fu=2.1 pbc="T T T"
Au 0.0000 0.0000 4.1648
Fe 1.3501 1.3501 6.1332
W 0.0000 0.0000 7.8838
W 1.3501 1.3501 2.0153